Entry 1:
# GGA-PBE BeCuAu2, optimized geometry
# E_tot (eV for the cell shown): -14.68
# DFT formation energy (meV/atom): -75.1
# Total magnetic moment (μB/atom): 0.000
data_BeCuAu2
_chemical_formula_sum 'Be1 Cu1 Au2'
_space_group_name_H-M_alt 'P 4 m m'
_space_group_IT_number 99
_cell_length_a 2.9229
_cell_length_b 2.9229
_cell_length_c 6.5904
_cell_angle_alpha 90.00
_cell_angle_beta 90.00
_cell_angle_gamma 90.00
loop_
_space_group_symop_operation_xyz
'x,y,z'
'-y,x,z'
'-x,-y,z'
'y,-x,z'
'-x,y,z'
'y,x,z'
'x,-y,z'
'-y,-x,z'
loop_
_atom_site_label
_atom_site_type_symbol
_atom_site_fract_x
_atom_site_fract_y
_atom_site_fract_z
Be1 Be 0.0000 0.0000 0.0000
Cu1 Cu 0.5000 0.5000 0.1881
Au1 Au 0.0000 0.0000 0.4507
Au2 Au 0.5000 0.5000 0.7856

=====

Entry 2:
# GGA-PBE BeFeCuAu2, optimized geometry
# E_tot (eV for the cell shown): -17.30
# DFT formation energy (meV/atom): 1107.8
# Total magnetic moment (μB/atom): 0.620
data_BeFeCuAu2
_chemical_formula_sum 'Be1 Fe1 Cu1 Au2'
_space_group_name_H-M_alt 'P 4/m m m'
_space_group_IT_number 123
_space_group_name_Hall '-P 4 2'
_cell_length_a 4.7177
_cell_length_b 4.7177
_cell_length_c 4.3568
_cell_angle_alpha 90.00
_cell_angle_beta 90.00
_cell_angle_gamma 90.00
loop_
_atom_site_label
_atom_site_type_symbol
_atom_site_fract_x
_atom_site_fract_y
_atom_site_fract_z
Be1 Be 0.0000 0.0000 0.0000
Fe1 Fe 0.5000 0.5000 0.0000
Cu1 Cu 0.5000 0.5000 0.5000
Au1 Au 0.0000 0.5000 0.5000